1.
The following is a GGA-PBE calculation of a geometry-optimized Mg4Sb structure, from Alexandria. Values from VASP.

Summary:
space group: Im-3m, No. 229
formation energy from raw total energies: 0.223 eV per atom
E above lowest polymorph: 0.0 kJ per mole of atoms

Geometry as Quantum ESPRESSO input:
```
&SYSTEM
  ibrav = 0, nat = 5, ntyp = 2
/
ATOMIC_SPECIES
Mg 24.30 Mg.upf
Sb 121.76 Sb.upf
ATOMIC_POSITIONS angstrom
Mg 1.680 -1.680 1.680
Mg 1.680 1.680 -1.680
Mg 1.680 1.680 1.680
Mg -1.680 1.680 1.680
Sb 0.000 0.000 0.000
CELL_PARAMETERS angstrom
-3.360 3.360 3.360
3.360 -3.360 3.360
3.360 3.360 -3.360
```

=====

2.
The following is a GGA-PBE calculation of a geometry-optimized SnIrRu2I structure, from Alexandria. Values from VASP.

Summary:
space group: P4/mmm, No. 123
formation energy from raw total energies: 1.362 eV per atom

Geometry as Quantum ESPRESSO input:
```
&SYSTEM
  ibrav = 0, nat = 5, ntyp = 4
/
ATOMIC_SPECIES
I 126.90 I.upf
Ru 101.07 Ru.upf
Ir 192.22 Ir.upf
Sn 118.71 Sn.upf
ATOMIC_POSITIONS angstrom
I 0.000 2.651 0.000
Ru 0.000 0.000 2.396
Ru 2.396 0.000 0.000
Ir 0.000 0.000 0.000
Sn 2.396 2.651 2.396
CELL_PARAMETERS angstrom
4.792 0.000 0.000
0.000 5.302 0.000
0.000 0.000 4.792
```

=====

3.
The following is a GGA-PBE calculation of a geometry-optimized AcPmScTl structure, from Alexandria. Values from VASP.

Summary:
space group: F-43m, No. 216
energy of formation from the pure elements: 54 meV per atom

Geometry as Quantum ESPRESSO input:
```
&SYSTEM
  ibrav = 0, nat = 4, ntyp = 4
/
ATOMIC_SPECIES
Sc 44.96 Sc.upf
Ac 227.00 Ac.upf
Tl 204.38 Tl.upf
Pm 145.00 Pm.upf
ATOMIC_POSITIONS angstrom
Sc -1.776 0.566 -2.835
Ac -3.553 1.131 -5.671
Tl 0.000 0.000 0.000
Pm -5.329 1.697 -8.506
CELL_PARAMETERS angstrom
-2.052 3.909 -3.350
-0.182 -0.856 -5.472
-4.871 -0.790 -2.520
```

=====

4.
The following is a GGA-PBE calculation of a geometry-optimized HgOs3 structure, from Alexandria. Values from VASP.

Summary:
space group: P4/mmm, No. 123
E above lowest polymorph: 15.5 kJ per mole of atoms
energy of formation from the pure elements: 553 meV per atom

Geometry as Quantum ESPRESSO input:
```
&SYSTEM
  ibrav = 0, nat = 4, ntyp = 2
/
ATOMIC_SPECIES
Hg 200.59 Hg.upf
Os 190.23 Os.upf
ATOMIC_POSITIONS angstrom
Hg 0.000 0.000 0.000
Os 0.000 0.000 4.045
Os 1.399 1.399 2.235
Os 1.399 1.399 5.854
CELL_PARAMETERS angstrom
2.798 0.000 0.000
0.000 2.798 0.000
0.000 0.000 8.090
```

=====

5.
The following is a GGA-PBE calculation of a geometry-optimized Cd2NiAuCl structure, from Alexandria. Values from VASP.

Summary:
space group: P4/mmm, No. 123
formation energy from raw total energies: 0.207 eV per atom

Geometry as Quantum ESPRESSO input:
```
&SYSTEM
  ibrav = 0, nat = 5, ntyp = 4
/
ATOMIC_SPECIES
Ni 58.69 Ni.upf
Cl 35.45 Cl.upf
Au 196.97 Au.upf
Cd 112.41 Cd.upf
ATOMIC_POSITIONS angstrom
Ni 0.000 0.000 0.000
Cl -3.616 0.070 2.335
Au -0.030 -0.226 2.353
Cd -1.646 1.932 0.165
Cd -1.939 -1.636 -0.182
CELL_PARAMETERS angstrom
-3.878 -3.273 -0.365
-0.061 -0.452 4.706
-3.292 3.865 0.329
```

=====

6.
The following is a GGA-PBE calculation of a geometry-optimized SrHoPt2 structure, from Alexandria. Values from VASP.

Summary:
space group: P4/mmm, No. 123
E above lowest polymorph: 0.0 kJ per mole of atoms
energy of formation from the pure elements: -1052 meV per atom

Geometry as Quantum ESPRESSO input:
```
&SYSTEM
  ibrav = 0, nat = 4, ntyp = 3
/
ATOMIC_SPECIES
Sr 87.62 Sr.upf
Ho 164.93 Ho.upf
Pt 195.08 Pt.upf
ATOMIC_POSITIONS angstrom
Sr 1.769 1.769 3.680
Ho 1.769 1.769 0.000
Pt 0.000 0.000 5.803
Pt 0.000 0.000 1.557
CELL_PARAMETERS angstrom
3.537 0.000 0.000
0.000 3.537 0.000
0.000 0.000 7.360
```